Zr2Ni2N | Alexandria | GGA-PBE | relaxed; formation energy without anion corrections = 0.2387 eV per atom; size of the total moment = 0.0 Bohr magnetons per cell; ρ = 6.81 g cm⁻³
1.0
5.082 0.000 0.000
0.000 5.082 0.000
2.541 2.541 2.965
Ni Zr N
2 2 1
direct
0.689 0.689 0.623
0.311 0.311 0.377
0.250 0.750 0.500
0.750 0.250 0.500
0.000 0.000 0.000

ZrNiN3 | Alexandria | GGA-PBE | relaxed; formation energy without anion corrections = 1.2668 eV per atom; size of the total moment = 4.2 Bohr magnetons per cell; ρ = 4.39 g cm⁻³
1.0
-2.852 -2.643 1.511
2.970 -2.870 0.587
0.668 1.477 3.844
N Ni Zr
3 1 1
direct
0.500 0.000 0.000
0.000 0.500 0.000
0.000 0.000 0.500
0.500 0.500 0.500
0.000 0.000 0.000

ZrNiN | Alexandria | GGA-PBE | relaxed; formation energy without anion corrections = -0.7851 eV per atom; size of the total moment = 0.0 Bohr magnetons per cell; ρ = 6.63 g cm⁻³
1.0
3.908 0.000 0.000
0.000 9.252 0.000
0.000 0.000 4.541
Zr Ni N
4 4 4
direct
0.500 0.310 0.300
0.000 0.810 0.800
0.500 0.690 0.300
0.000 0.190 0.800
0.500 0.000 0.004
0.500 0.500 0.809
0.000 0.000 0.309
0.000 0.500 0.504
0.500 0.704 0.812
0.500 0.296 0.812
0.000 0.204 0.312
0.000 0.796 0.312